Entry 1:
VASP calculation (PBE) on crystalline UMn5P2 at its relaxed geometry.

```
UMn5P2
1.0
3.2108 0.0000 1.0674
1.1742 5.5790 1.8308
-0.2038 0.3186 5.9760
U Mn P
1 5 2
direct
0.0000 0.0000 0.0000
0.0000 0.5000 0.5000
0.6477 0.5454 0.1593
0.3523 0.4546 0.8407
0.3523 0.8407 0.4546
0.6477 0.1593 0.5454
0.7508 0.7492 0.7492
0.2492 0.2508 0.2508
```

---

Entry 2:
VASP calculation (PBE) on crystalline U4Mn7P6 at its relaxed geometry.

```
U4Mn7P6
1.0
6.3808 0.0000 -2.2559
-3.1904 5.5259 -2.2559
0.0000 0.0000 6.7678
U Mn P
4 7 6
direct
0.5000 0.0000 0.0000
0.5000 0.5000 0.5000
0.0000 0.5000 0.0000
0.0000 0.0000 0.5000
0.7500 0.5000 0.2500
0.2500 0.7500 0.5000
0.5000 0.7500 0.2500
0.7500 0.2500 0.5000
0.2500 0.5000 0.7500
0.5000 0.2500 0.7500
0.0000 0.0000 0.0000
0.6798 0.0000 0.6798
0.6798 0.6798 0.0000
0.0000 0.3202 0.3202
0.3202 0.0000 0.3202
0.3202 0.3202 0.0000
0.0000 0.6798 0.6798
```

---

Entry 3:
VASP calculation (PBE) on crystalline U2MnP at its relaxed geometry.

Calculated values
The calculation puts the relative energy among the computed polymorphs at 0 meV per atom.

```
U2MnP
1.0
-4.3249 -1.2200 1.2768
2.1808 -3.8479 -1.5037
1.1074 -0.6102 3.1678
U Mn P
2 1 1
direct
0.0000 0.0000 0.0000
0.5000 0.5000 0.0000
0.5000 0.0000 0.5000
0.0000 0.5000 0.5000
```

---

Entry 4:
VASP calculation (PBE) on crystalline UMn4P2 at its relaxed geometry.

Calculated values
The calculation puts the relative energy among the computed polymorphs at 278 meV per atom.

```
UMn4P2
1.0
3.5767 0.0000 -0.8245
-0.2884 3.2504 -1.2511
0.0932 -0.9501 8.5746
U Mn P
1 4 2
direct
0.0000 0.0000 0.0000
0.1265 0.9536 0.2529
0.8735 0.0464 0.7471
0.2513 0.7474 0.5026
0.7487 0.2526 0.4974
0.6426 0.5110 0.2853
0.3574 0.4890 0.7147
```

---

Entry 5:
VASP calculation (PBE) on crystalline UMn2P at its relaxed geometry.

```
UMn2P
1.0
-0.2934 -3.8206 1.7485
2.0715 -0.8479 3.5680
-2.5820 -0.3362 3.9052
P Mn U
1 2 1
direct
0.0000 0.0000 0.0000
0.6825 0.6825 0.9524
0.3175 0.3175 0.0476
0.5000 0.5000 0.5000
```

---

Entry 6:
VASP calculation (PBE) on crystalline UMnP2 at its relaxed geometry.

```
UMnP2
1.0
3.7459 0.0000 0.0000
1.8730 3.2441 0.0000
1.8730 1.0814 5.2002
P Mn U
2 1 1
direct
0.2738 0.2738 0.1786
0.7262 0.7262 0.8214
0.0000 0.0000 0.0000
0.5000 0.5000 0.5000
```

---

Entry 7:
VASP calculation (PBE) on crystalline UMnP2 at its relaxed geometry.

```
UMnP2
1.0
3.6485 0.0000 0.0000
1.8242 3.1597 0.0000
1.8242 1.0532 6.0130
U Mn P
1 1 2
direct
0.6710 0.6710 0.9870
0.4950 0.4950 0.5151
0.0998 0.0998 0.7006
0.2342 0.2342 0.2973
```

---

Entry 8:
VASP calculation (PBE) on crystalline UMn3P2 at its relaxed geometry.

Calculated values
The calculation puts the relative energy among the computed polymorphs at 75 meV per atom.

```
UMn3P2
1.0
-0.5321 -2.3110 2.8618
-2.4003 -3.8223 -5.9464
6.7284 -0.1679 1.1155
U Mn P
2 6 4
direct
0.8534 0.7069 0.9459
0.1466 0.2931 0.0541
0.3094 0.6188 0.5415
0.9570 0.9141 0.6157
0.5891 0.1782 0.6669
0.4109 0.8218 0.3331
0.0430 0.0859 0.3843
0.6906 0.3812 0.4585
0.4745 0.9490 0.8130
0.5255 0.0510 0.1870
0.8051 0.6102 0.3029
0.1949 0.3898 0.6971
```

---

Entry 9:
VASP calculation (PBE) on crystalline UMn6P4 at its relaxed geometry.

```
UMn6P4
1.0
-2.9382 1.6603 -0.8204
-2.0659 -5.3798 -3.4883
-1.5118 0.5569 6.5409
U Mn P
1 6 4
direct
0.0000 0.0000 0.0000
0.0000 0.5362 0.0725
0.5000 0.5974 0.7987
0.0000 0.5362 0.4638
0.0000 0.9275 0.4638
0.5000 0.2013 0.7987
0.5000 0.2013 0.4026
0.5000 0.8083 0.6166
0.5000 0.3834 0.1917
0.5000 0.8083 0.1917
0.0000 0.3333 0.6667
```

---

Entry 10:
VASP calculation (PBE) on crystalline UMn3P2 at its relaxed geometry.

Calculated values
The calculation puts the relative energy among the computed polymorphs at 0 meV per atom.

```
UMn3P2
1.0
-2.0789 -0.0028 3.0217
0.4732 -7.6072 -1.9075
7.3936 1.9308 5.0886
U Mn P
3 9 6
direct
0.1570 0.3140 0.7033
0.8430 0.6860 0.2967
0.0000 0.0000 0.0000
0.0467 0.0935 0.3450
0.9533 0.9065 0.6550
0.2143 0.4287 0.3918
0.7857 0.5713 0.6082
0.6195 0.2390 0.2004
0.3805 0.7610 0.7996
0.5000 0.0000 0.5000
0.3212 0.6423 0.0337
0.6788 0.3577 0.9663
0.1982 0.3965 0.1343
0.8018 0.6035 0.8657
0.4638 0.9277 0.2190
0.5362 0.0723 0.7810
0.3588 0.7177 0.5402
0.6412 0.2823 0.4598
```

---

Entry 11:
VASP calculation (PBE) on crystalline UMnP2 at its relaxed geometry.

```
UMnP2
1.0
3.7943 0.0009 0.0004
-0.0011 3.7965 -0.0015
-1.8967 -1.8967 4.7222
U Mn P
1 1 2
direct
0.2213 0.8811 0.2282
0.4714 0.6311 0.7283
0.8436 0.5037 0.4729
0.5989 0.2587 0.9833
```

---

Entry 12:
VASP calculation (PBE) on crystalline UMn4P2 at its relaxed geometry.

Calculated values
The calculation puts the relative energy among the computed polymorphs at 0 meV per atom.

```
UMn4P2
1.0
-5.1490 -2.6474 4.0126
-2.2849 -3.8255 -5.4558
2.1700 -2.7138 0.9941
U Mn P
2 8 4
direct
0.5000 0.5000 0.0000
0.0000 0.0000 0.5000
0.5820 0.1552 0.5000
0.4180 0.8448 0.5000
0.0820 0.3448 0.0000
0.9180 0.6552 0.0000
0.1552 0.5820 0.5000
0.8448 0.4180 0.5000
0.3448 0.0820 0.0000
0.6552 0.9180 0.0000
0.7192 0.7192 0.5000
0.2808 0.2808 0.5000
0.2192 0.7808 0.0000
0.7808 0.2192 0.0000
```

---

We obtain size of the total moment values of 7.026; 1.057; 2.745; 2.616; 0.000; 1.000; 5.008; 5.379; 5.622; 8.152; 0.380; 0.018 Bohr magnetons per cell for the records listed above, in that order.
We obtain energy relative to the elements values of -427; -761; -343; -299; -331; -690; -555; -612; -657; -687; -590; -576 meV/atom for the records listed above, in that order.